1.
Density functional theory data (PBE) for a geometry-optimized La5Tb2Nd12 structure.

Cell lengths 19.005, 7.316, 10.546 Å; angles 90.00, 111.48, 90.00 degrees
Space group C2/m (No. 12)
Unique sites:
La: 0.000 0.000 0.000 x2
La: 0.174 0.500 0.710 x4
La: 0.185 0.000 0.686 x4
Tb: 0.000 0.283 0.500 x4
Nd: 0.002 0.500 0.822 x4
Nd: 0.024 0.000 0.739 x4
Nd: 0.159 0.248 0.367 x8
Nd: 0.166 0.252 0.021 x8

The total energy is -88.14 eV per formula unit.


2.
Density functional theory data (PBE) for a geometry-optimized TaAl2ReF structure.

Cell lengths 4.845, 4.845, 4.785 Å; angles 90.00, 90.00, 90.00 degrees
Space group P4/mmm (No. 123)
Unique sites:
Ta: 0.000 0.000 0.000 x1
Al: 0.000 0.500 0.500 x2
Re: 0.000 0.000 0.500 x1
F: 0.500 0.500 0.000 x1

The calculation puts the uncorrected formation energy at 0.410 eV per atom. The total energy is -31.61 eV per formula unit.


3.
Density functional theory data (PBE) for a geometry-optimized LiLaSi3 structure.

Cell lengths 4.396, 23.636, 3.926 Å; angles 90.00, 90.00, 90.00 degrees
Space group Cmcm (No. 63)
Unique sites:
Li: 0.000 0.204 0.250 x4
La: 0.000 0.076 0.750 x4
Si: 0.000 0.316 0.250 x4
Si: 0.000 0.372 0.750 x4
Si: 0.000 0.473 0.750 x4

The calculation puts the uncorrected formation energy at -0.434 eV per atom. The total energy is -25.28 eV per formula unit.


4.
Density functional theory data (PBE) for a geometry-optimized Tb3Y4Pd4 structure.

Cell lengths 3.847, 9.235, 15.870 Å; angles 90.00, 90.00, 90.00 degrees
Space group Immm (No. 71)
Unique sites:
Tb: 0.000 0.000 0.000 x2
Tb: 0.000 0.500 0.108 x4
Y: 0.000 0.315 0.339 x8
Pd: 0.000 0.000 0.246 x4
Pd: 0.000 0.166 0.500 x4

The total energy is -66.88 eV per formula unit.


5.
Density functional theory data (PBE) for a geometry-optimized LiAgCl structure.

Cell lengths 6.508, 6.508, 6.508 Å; angles 90.00, 90.00, 90.00 degrees
Space group F-43m (No. 216)
Unique sites:
Li: 0.000 0.000 0.000 x4
Ag: 0.250 0.250 0.750 x4
Cl: 0.000 0.000 0.500 x4

The calculation puts the uncorrected formation energy at -0.295 eV per atom. The total energy is -7.50 eV per formula unit.


6.
Density functional theory data (PBE) for a geometry-optimized CsH2BrF structure.

Cell lengths 9.535, 4.446, 6.541 Å; angles 90.00, 123.27, 90.00 degrees
Space group Cm (No. 8)
Unique sites:
Cs: 0.000 0.000 0.000 x2
H: 0.133 0.000 0.653 x2
H: 0.487 0.500 0.474 x2
Br: 0.477 0.000 0.464 x2
F: 0.250 0.000 0.817 x2

The total energy is -16.13 eV per formula unit.


7.
Density functional theory data (PBE) for a geometry-optimized PmTm2Fe9 structure.

Cell lengths 5.0918, 5.0918, 24.0916 Å; angles 90.00, 90.00, 120.00 degrees
Space group R-3m (No. 166, hexagonal axes)
Unique sites:
Pm: 0.0000 0.0000 0.0000 x3
Tm: 0.0000 0.0000 0.1424 x6
Fe: 0.0000 0.0000 0.3328 x6
Fe: 0.0000 0.0000 0.5000 x3
Fe: 0.9999 0.4999 0.0830 x18

The total energy is -90.75 eV per formula unit.


8.
Density functional theory data (PBE) for a geometry-optimized Ge7O16 structure.

Cell lengths 7.805, 7.805, 7.805 Å; angles 90.00, 90.00, 90.00 degrees
Space group P-43m (No. 215)
Unique sites:
Ge: 0.000 0.000 0.500 x3
Ge: 0.139 0.139 0.139 x4
O: 0.115 0.115 0.885 x4
O: 0.134 0.134 0.375 x12

The calculation puts the uncorrected formation energy at -1.175 eV per atom. The total energy is -138.67 eV per formula unit.